a | The following is a DFT calculation (PBE) of a relaxed structure of PuTaCo2.

Total magnetic moment in Bohr magnetons per cell: 4.90
N(E_F) in states/eV/f.u.: 10.1

The structure in POSCAR format:
```
PuTaCo2
1.0
3.0543 0.0000 0.0000
0.0000 3.0543 0.0000
0.0000 0.0000 6.9547
Pu Ta Co
1 1 2
Direct
0.0000 0.0000 0.0000 Pu
0.0000 0.0000 0.5000 Ta
0.5000 0.5000 0.3018 Co
0.5000 0.5000 0.6982 Co
```



b | The following is a DFT calculation (PBE) of a relaxed structure of PuTaCo2.

Total magnetic moment in Bohr magnetons per cell: 4.03
N(E_F) in states/eV/f.u.: 9.4

The structure in POSCAR format:
```
PuTaCo2
1.0
4.7080 0.0000 0.0000
0.0000 4.7080 0.0000
0.0000 0.0000 2.8325
Pu Ta Co
1 1 2
Direct
0.0000 0.0000 0.0000 Pu
0.5000 0.5000 0.0000 Ta
0.0000 0.5000 0.5000 Co
0.5000 0.0000 0.5000 Co
```



Stability, descending: a, b



a | The following is a DFT calculation (PBE) of a relaxed structure of TbPuCo.

Total magnetic moment in Bohr magnetons per cell: 5.47
N(E_F) in states/eV/f.u.: 7.5

The structure in POSCAR format:
```
TbPuCo
1.0
4.2024 0.0000 0.0000
-2.1012 3.6394 0.0000
0.0000 0.0000 4.5050
Tb Pu Co
1 1 1
Direct
0.0000 0.0000 0.0000 Tb
0.6667 0.3333 0.5000 Pu
0.3333 0.6667 0.5000 Co
```



b | The following is a DFT calculation (PBE) of a relaxed structure of TbPuCo.

Total magnetic moment in Bohr magnetons per cell: 5.19
N(E_F) in states/eV/f.u.: 9.6

The structure in POSCAR format:
```
TbPuCo
1.0
-1.6778 1.6778 6.0245
1.6778 -1.6778 6.0245
1.6778 1.6778 -6.0245
Tb Pu Co
1 1 1
Direct
0.0000 0.0000 0.0000 Tb
0.2674 0.2674 0.0000 Pu
0.6396 0.6396 0.0000 Co
```



Stability, descending: b, a